First-principles (GGA-PBE) data for a geometry-optimized CsRbTlBr2 structure, as listed in Alexandria via LeMat-Bulk.

The value obtained for the total magnetization is 0.20 μB/atom. Its formation energy without anion corrections is -0.794 eV per atom.

It has space group P4/mmm (No. 123), with a = 6.4966 Å, b = 6.4966 Å, c = 6.5828 Å, α = 90.00°, β = 90.00° and γ = 90.00°. The inequivalent atoms are Cs at (0.0000, 0.0000, 0.0000), Rb at (0.5000, 0.5000, 0.5000), Tl at (0.5000, 0.5000, 0.0000) and Br at (0.0000, 0.5000, 0.5000).